Entry 1:
# Y2CdRuN

A relaxed Y2CdRuN crystal (PBE-GGA, Alexandria).

Cell lengths 5.5591, 5.5591, 4.7557 Å; angles 90.00, 90.00, 90.00 degrees
Closest atoms and distances in Å follow each position.
Fractional positions:
Y  0.0000  0.5000  0.0000  2 Cd 2.78
Y  0.5000  0.0000  0.0000  2 Cd 2.78
Cd  0.0000  0.0000  0.0000  2 Ru 2.38
Ru  0.0000  0.0000  0.5000  2 Cd 2.38
N  0.5000  0.5000  0.5000  8 Y 3.66, 4 Ru 3.93

Properties
Raw total energy, eV/atom: -4.570
E above lowest polymorph, eV per atom: 2.393
ΔE_f (raw), eV/atom: 1.719
D(E_F), states/eV/cell: 3.33
Total moment, μB/atom: 0.276

Entry 2:
# TmGa3Rh2

A relaxed TmGa3Rh2 crystal (PBE-GGA, Alexandria).

Cell lengths 7.9882, 7.9882, 7.9882 Å; angles 151.47, 119.15, 68.55 degrees
Closest atoms and distances in Å follow each position.
Fractional positions:
Tm  0.1333  0.1333  0.0000  6 Rh 2.96-3.08, 8 Ga 3.04-3.30
Tm  0.8667  0.8667  0.0000  6 Rh 2.96-3.08, 8 Ga 3.04-3.30
Ga  0.1114  0.3236  0.7878  3 Rh 2.53-2.62
Ga  0.3455  0.0000  0.3455  2 Rh 2.45, 1 Ga 2.50
Ga  0.4641  0.6764  0.7878  3 Rh 2.53-2.62
Ga  0.5359  0.3236  0.2122  3 Rh 2.53-2.62
Ga  0.6545  0.0000  0.6545  2 Rh 2.45, 1 Ga 2.50
Ga  0.8886  0.6764  0.2122  3 Rh 2.53-2.62
Rh  0.1661  0.5000  0.6661  4 Ga 2.45-2.53, 1 Rh 2.69
Rh  0.3131  0.8131  0.5000  6 Ga 2.62-2.77
Rh  0.6869  0.1869  0.5000  6 Ga 2.62-2.77
Rh  0.8339  0.5000  0.3339  4 Ga 2.45-2.53, 1 Rh 2.69

Properties
Raw total energy, eV/atom: -5.353
Formation energy from the elements, eV per atom: -0.6438
D(E_F), states/eV/cell: 6.51
Total moment, μB/atom: 0.000